Record 1
Below is SbOsW at its PBEsol-relaxed geometry, with properties calculated at the meta-GGA SCAN level.

a = 4.4398 Å, b = 4.4398 Å, c = 2.9037 Å
α = 90.00°, β = 90.00°, γ = 120.00°
Space group P-6m2 (No. 187)
One atom of each set of equivalent atoms:
Sb (0.0000, 0.0000, 0.0000)
Os (0.6667, 0.3333, 0.0000)
W (0.3333, 0.6667, 0.5000)

* Fermi-level density of states: 2.343 states/eV per cell
* total DFT energy (no corrections): -176.91 eV/f.u.

---

Record 2
Below is ZrSbOsW2 at its PBEsol-relaxed geometry, with properties calculated at the meta-GGA SCAN level.

a = 4.745 Å, b = 4.745 Å, c = 4.974 Å
α = 90.00°, β = 90.00°, γ = 90.00°
Space group P4/mmm (No. 123)
One atom of each set of equivalent atoms:
Zr (0.000, 0.000, 0.000)
Sb (0.000, 0.000, 0.500)
Os (0.500, 0.500, 0.000)
W (0.000, 0.500, 0.500)

* Fermi-level density of states: 5.948 states/eV per cell
* total DFT energy (no corrections): -266.01 eV/f.u.

---

Record 3
Below is YSbOs2 at its PBEsol-relaxed geometry, with properties calculated at the meta-GGA SCAN level.

a = 5.946 Å, b = 9.210 Å, c = 2.970 Å
α = 90.00°, β = 118.17°, γ = 90.00°
Space group C2/m (No. 12)
One atom of each set of equivalent atoms:
Y (0.000, 0.000, 0.000)
Sb (0.000, 0.500, 0.000)
Os (0.250, 0.250, 0.500)

* Fermi-level density of states: 6.916 states/eV per cell
* total DFT energy (no corrections): -207.16 eV/f.u.

---

Record 4
Below is ZrSbOs2 at its PBEsol-relaxed geometry, with properties calculated at the meta-GGA SCAN level.

a = 3.118 Å, b = 4.072 Å, c = 5.443 Å
α = 90.00°, β = 90.00°, γ = 90.00°
Space group Pmm2 (No. 25)
One atom of each set of equivalent atoms:
Zr (0.000, 0.000, 0.000)
Sb (0.500, 0.500, 0.686)
Os (0.000, 0.000, 0.499)
Os (0.500, 0.500, 0.194)

* Fermi-level density of states: 2.782 states/eV per cell
* total DFT energy (no corrections): -211.40 eV/f.u.

---

Record 5
Below is ZrSbOs2 at its PBEsol-relaxed geometry, with properties calculated at the meta-GGA SCAN level.

a = 3.303 Å, b = 3.303 Å, c = 6.308 Å
α = 90.00°, β = 90.00°, γ = 90.00°
Space group P4/mmm (No. 123)
One atom of each set of equivalent atoms:
Zr (0.000, 0.000, 0.000)
Sb (0.000, 0.000, 0.500)
Os (0.500, 0.500, 0.248)

* Fermi-level density of states: 3.052 states/eV per cell
* total DFT energy (no corrections): -211.95 eV/f.u.

---

Record 6
Below is ZrSbOs2 at its PBEsol-relaxed geometry, with properties calculated at the meta-GGA SCAN level.

a = 10.043 Å, b = 3.081 Å, c = 4.722 Å
α = 90.00°, β = 110.02°, γ = 90.00°
Space group Cm (No. 8)
One atom of each set of equivalent atoms:
Zr (0.000, 0.000, 0.000)
Sb (0.266, 0.500, 0.219)
Os (0.003, 0.500, 0.531)
Os (0.233, 0.000, 0.660)

* Fermi-level density of states: 6.793 states/eV per cell
* total DFT energy (no corrections): -211.62 eV/f.u.

---

Record 7
Below is Zr2SbOs at its PBEsol-relaxed geometry, with properties calculated at the meta-GGA SCAN level.

a = 3.977 Å, b = 3.977 Å, c = 9.654 Å
α = 90.00°, β = 90.00°, γ = 90.00°
Space group I-4m2 (No. 119)
One atom of each set of equivalent atoms:
Zr (0.000, 0.000, 0.000)
Zr (0.000, 0.500, 0.250)
Sb (0.000, 0.500, 0.750)
Os (0.000, 0.000, 0.500)

* Fermi-level density of states: 5.672 states/eV per cell
* total DFT energy (no corrections): -172.12 eV/f.u.

---

Record 8
Below is Zr2SbOs2 at its PBEsol-relaxed geometry, with properties calculated at the meta-GGA SCAN level.

a = 3.564 Å, b = 3.564 Å, c = 15.788 Å
α = 90.00°, β = 90.00°, γ = 90.00°
Space group I4/mmm (No. 139)
One atom of each set of equivalent atoms:
Zr (0.000, 0.000, 0.110)
Sb (0.000, 0.000, 0.500)
Os (0.000, 0.500, 0.250)

* Fermi-level density of states: 13.016 states/eV per cell
* total DFT energy (no corrections): -243.04 eV/f.u.

---

Record 9
Below is ZrSbOs2 at its PBEsol-relaxed geometry, with properties calculated at the meta-GGA SCAN level.

a = 8.919 Å, b = 3.098 Å, c = 5.082 Å
α = 90.00°, β = 101.36°, γ = 90.00°
Space group C2/m (No. 12)
One atom of each set of equivalent atoms:
Zr (0.000, 0.000, 0.000)
Sb (0.000, 0.500, 0.500)
Os (0.245, 0.500, 0.253)

* Fermi-level density of states: 4.274 states/eV per cell
* total DFT energy (no corrections): -211.44 eV/f.u.

---

Record 10
Below is ScOs2 at its PBEsol-relaxed geometry, with properties calculated at the meta-GGA SCAN level.

a = 5.965 Å, b = 5.965 Å, c = 5.965 Å
α = 90.00°, β = 90.00°, γ = 90.00°
Space group Fm-3m (No. 225)
One atom of each set of equivalent atoms:
Sc (0.000, 0.000, 0.000)
Os (0.250, 0.250, 0.250)

* Fermi-level density of states: 18.493 states/eV per cell
* calculated formation energy: 1.166 eV/atom

---

Record 11
Below is Sc3Os2 at its PBEsol-relaxed geometry, with properties calculated at the meta-GGA SCAN level.

a = 3.0725 Å, b = 3.0725 Å, c = 33.0754 Å
α = 90.00°, β = 90.00°, γ = 120.00°
Space group R-3m (No. 166, hexagonal axes)
One atom of each set of equivalent atoms:
Sc (0.0000, 0.0000, 0.0000)
Sc (0.0000, 0.0000, 0.2110)
Os (0.0000, 0.0000, 0.3965)

* Fermi-level density of states: 10.334 states/eV per cell
* calculated formation energy: -0.090 eV/atom

---

Record 12
Below is Sc11Os4 at its PBEsol-relaxed geometry, with properties calculated at the meta-GGA SCAN level.

a = 13.191 Å, b = 13.191 Å, c = 13.191 Å
α = 90.00°, β = 90.00°, γ = 90.00°
Space group Fm-3m (No. 225)
One atom of each set of equivalent atoms:
Sc (0.000, 0.000, 0.200)
Sc (0.117, 0.117, 0.383)
Sc (0.155, 0.155, 0.155)
Os (0.000, 0.000, 0.000)
Os (0.000, 0.000, 0.500)
Os (0.000, 0.250, 0.250)

* Fermi-level density of states: 78.202 states/eV per cell
* calculated formation energy: -0.480 eV/atom

---

Q: Fermi-level density of states of number 5 (ZrSbOs2)?
A: 3.052 states/eV per cell